First-principles (PBE with a Hubbard U) data for crystalline PmCr2SiO8 at its relaxed geometry, as listed in Alexandria via LeMat-Bulk.

Summary:
- V: 12.64 A^3/atom
- Fermi-level density of states: 0.243 states/eV per atom
- Total DFT energy (no corrections): -7.436 eV per atom
- Mass density: 4433 kg/m3
- Space group: C2/m (12)

abc: 4.871 4.871 6.809
angles: 91.58 91.58 69.97
Fractional coordinates of all 12 atoms:
Pm 0.000 0.000 0.000
Cr 0.373 0.373 0.716
Cr 0.627 0.627 0.284
Si 0.000 0.000 0.500
O 0.206 0.765 0.695
O 0.220 0.220 0.528
O 0.235 0.794 0.305
O 0.299 0.299 0.950
O 0.701 0.701 0.050
O 0.765 0.206 0.695
O 0.780 0.780 0.472
O 0.794 0.235 0.305